DFT (PBE) results for a relaxed CrIn2Co crystal.

Values from the calculation:
Space group = P4mm
E = -5.281 eV/atom
Crystal system = tetragonal
Volume = 70 Å³/cell

Geometry as POSCAR:
```
CrIn2Co
1.0
3.0196 0.0000 0.0000
0.0000 3.0196 0.0000
0.0000 0.0000 7.7117
Cr In Co
1 2 1
Direct
0.0000 0.0000 0.0000 Cr
0.0000 0.0000 0.6126 In
0.5000 0.5000 0.2530 In
0.5000 0.5000 0.8438 Co
```